{"formula": "TiV6Rh12", "functional": "GGA-PBE", "state": "relaxed", "dft_energy_ev_per_atom": -8.3401, "delta_e_f_mev_per_atom": -402, "cell": [[0.077, -5.643, -4.400], [-0.062, -2.094, 6.843], [-5.565, 4.270, -1.417]], "species": ["Ti", "V", "V", "V", "V", "V", "V", "Rh", "Rh", "Rh", "Rh", "Rh", "Rh", "Rh", "Rh", "Rh", "Rh", "Rh", "Rh"], "fractional_positions": [[0.000, 0.000, 0.000], [0.638, 0.933, 0.421], [0.579, 0.362, 0.067], [0.067, 0.579, 0.362], [0.362, 0.067, 0.579], [0.421, 0.638, 0.933], [0.933, 0.421, 0.638], [0.794, 0.671, 0.522], [0.522, 0.794, 0.671], [0.671, 0.522, 0.794], [0.206, 0.329, 0.478], [0.478, 0.206, 0.329], [0.329, 0.478, 0.206], [0.891, 0.833, 0.267], [0.167, 0.733, 0.109], [0.733, 0.109, 0.167], [0.109, 0.167, 0.733], [0.833, 0.267, 0.891], [0.267, 0.891, 0.833]]}


{"formula": "TiV2Rh2", "functional": "GGA-PBE", "state": "relaxed", "dft_energy_ev_per_atom": -8.4323, "delta_e_f_mev_per_atom": -265, "cell": [[7.320, 0.000, 0.000], [0.000, 7.320, 0.000], [0.000, 0.000, 2.750]], "species": ["V", "V", "V", "V", "Rh", "Rh", "Rh", "Rh", "Ti", "Ti"], "fractional_positions": [[0.348, 0.848, 0.000], [0.848, 0.652, 0.000], [0.652, 0.152, 0.000], [0.152, 0.348, 0.000], [0.147, 0.647, 0.500], [0.647, 0.853, 0.500], [0.853, 0.353, 0.500], [0.353, 0.147, 0.500], [0.000, 0.000, 0.000], [0.500, 0.500, 0.000]]}


{"formula": "TiVRh", "functional": "GGA-PBE", "state": "relaxed", "dft_energy_ev_per_atom": -8.5500, "delta_e_f_mev_per_atom": -428, "cell": [[-2.342, -0.409, -1.903], [1.945, -0.622, -2.259], [0.068, -4.037, 3.221]], "species": ["Ti", "Rh", "V"], "fractional_positions": [[0.335, 0.335, 0.671], [0.664, 0.664, 0.328], [0.001, 0.001, 0.002]]}


{"formula": "TiVRh3", "functional": "GGA-PBE", "state": "relaxed", "dft_energy_ev_per_atom": -8.0600, "delta_e_f_mev_per_atom": -246, "cell": [[-0.742, 5.008, -1.797], [-5.683, -2.219, -3.838], [-4.637, 1.472, 6.015]], "species": ["Ti", "Ti", "Ti", "Ti", "V", "V", "V", "V", "Rh", "Rh", "Rh", "Rh", "Rh", "Rh", "Rh", "Rh", "Rh", "Rh", "Rh", "Rh"], "fractional_positions": [[0.302, 0.505, 0.750], [0.198, 0.005, 0.250], [0.698, 0.495, 0.250], [0.802, 0.995, 0.750], [0.000, 0.500, 0.000], [0.500, 0.000, 0.500], [0.500, 0.000, 0.000], [0.000, 0.500, 0.500], [0.891, 0.174, 0.062], [0.609, 0.674, 0.562], [0.609, 0.674, 0.938], [0.109, 0.826, 0.562], [0.109, 0.826, 0.938], [0.391, 0.326, 0.438], [0.391, 0.326, 0.062], [0.891, 0.174, 0.438], [0.271, 0.144, 0.750], [0.229, 0.644, 0.250], [0.729, 0.856, 0.250], [0.771, 0.356, 0.750]]}


{"formula": "TiVRh", "functional": "GGA-PBE", "state": "relaxed", "dft_energy_ev_per_atom": -8.4130, "delta_e_f_mev_per_atom": -291, "cell": [[-0.397, -0.690, 2.603], [-0.926, -4.495, -1.332], [6.614, -1.540, 0.601]], "species": ["Ti", "Ti", "V", "V", "Rh", "Rh"], "fractional_positions": [[0.000, 0.250, 0.860], [0.000, 0.750, 0.140], [0.000, 0.500, 0.500], [0.000, 0.000, 0.500], [0.500, 0.750, 0.801], [0.500, 0.250, 0.199]]}


{"formula": "TiVRh5", "functional": "GGA-PBE", "state": "relaxed", "dft_energy_ev_per_atom": -7.9743, "delta_e_f_mev_per_atom": -293, "cell": [[-2.483, 2.013, 2.346], [0.499, -2.709, 2.852], [5.155, 3.515, 2.439]], "species": ["Ti", "V", "Rh", "Rh", "Rh", "Rh", "Rh"], "fractional_positions": [[0.000, 0.000, 0.500], [0.500, 0.500, 0.000], [0.000, 0.500, 0.782], [0.000, 0.500, 0.218], [0.500, 0.000, 0.782], [0.500, 0.000, 0.218], [0.500, 0.500, 0.500]]}